Entry i
# AcPr8Er2

A relaxed structure of AcPr8Er2 (PBE-GGA, Alexandria via LeMat-Bulk). Values from VASP.

Geometry as Quantum ESPRESSO input:
```
&SYSTEM
  ibrav = 0, nat = 11, ntyp = 3
/
ATOMIC_SPECIES
Ac 227.00 Ac.upf
Pr 140.91 Pr.upf
Er 167.26 Er.upf
CELL_PARAMETERS angstrom
5.8522 1.7886 0.0000
2.8761 8.9120 0.0000
1.4380 4.4560 8.5161
ATOMIC_POSITIONS angstrom
Ac 2.9261 0.8943 0.0000
Pr 5.3842 3.4070 2.0842
Pr 6.8223 7.8630 6.4320
Pr 2.9572 4.3695 0.0000
Pr 5.8022 9.8063 3.5527
Pr 4.3642 5.3503 4.9635
Pr 5.7712 6.3312 0.0000
Pr 3.3441 7.2937 2.0842
Pr 4.7821 11.7497 6.4320
Er 1.4380 4.4560 3.2087
Er 2.8761 8.9120 5.3074
```

Results
crystal system: monoclinic

Entry ii
# AcPr8Er2

A relaxed structure of AcPr8Er2 (PBE-GGA, Alexandria via LeMat-Bulk). Values from VASP.

Geometry as Quantum ESPRESSO input:
```
&SYSTEM
  ibrav = 0, nat = 11, ntyp = 3
/
ATOMIC_SPECIES
Ac 227.00 Ac.upf
Pr 140.91 Pr.upf
Er 167.26 Er.upf
CELL_PARAMETERS angstrom
5.4418 0.0008 -1.6506
-1.0594 7.8450 -3.4888
-0.0416 -0.4882 9.6393
ATOMIC_POSITIONS angstrom
Ac 2.7209 0.0004 -0.8253
Pr 2.6019 6.5051 -1.2177
Pr 1.3115 4.0191 4.3098
Pr 0.6906 1.1034 2.2707
Pr 5.0842 1.8521 6.9482
Pr 3.6502 6.2542 2.2293
Pr 3.0293 3.3385 0.1901
Pr 1.7390 0.8526 5.7176
Pr -0.7434 5.5055 -2.4483
Er 0.3307 5.3009 1.0938
Er 4.0101 2.0567 3.4061
```

Results
crystal system: orthorhombic

If we sort the structures by their calculated energies, the order from most to least stable is entry ii, entry i.

Entry i
# AcPrYEr

A relaxed structure of AcPrYEr (PBE-GGA, Alexandria via LeMat-Bulk). Values from VASP.

Geometry as Quantum ESPRESSO input:
```
&SYSTEM
  ibrav = 0, nat = 4, ntyp = 4
/
ATOMIC_SPECIES
Pr 140.91 Pr.upf
Y 88.91 Y.upf
Ac 227.00 Ac.upf
Er 167.26 Er.upf
CELL_PARAMETERS angstrom
5.8887 0.0000 0.0000
2.9444 5.0998 0.0000
2.9444 1.6999 4.8081
ATOMIC_POSITIONS angstrom
Pr 2.9444 1.6999 1.2020
Y 8.8331 5.0998 3.6061
Ac 0.0000 0.0000 0.0000
Er 5.8887 3.3999 2.4041
```

Results
crystal system: cubic

Entry ii
# AcPrYEr

A relaxed structure of AcPrYEr (PBE-GGA, Alexandria via LeMat-Bulk). Values from VASP.

Geometry as Quantum ESPRESSO input:
```
&SYSTEM
  ibrav = 0, nat = 4, ntyp = 4
/
ATOMIC_SPECIES
Ac 227.00 Ac.upf
Pr 140.91 Pr.upf
Y 88.91 Y.upf
Er 167.26 Er.upf
CELL_PARAMETERS angstrom
-1.7282 -3.0922 -1.1416
3.0008 -2.0093 0.8993
-3.7940 -1.3992 9.5329
ATOMIC_POSITIONS angstrom
Ac -0.4452 -3.1834 7.5211
Pr -1.7916 -3.3495 3.9434
Y -3.8036 -4.0914 8.9986
Er 1.4854 -2.4715 2.6713
```

Results
crystal system: tetragonal

If we sort the structures by their calculated energies, the order from most to least stable is entry ii, entry i.

Entry i
# Ac2ErPu

A relaxed structure of Ac2ErPu (PBE-GGA, Alexandria via LeMat-Bulk). Values from VASP.

Geometry as Quantum ESPRESSO input:
```
&SYSTEM
  ibrav = 0, nat = 4, ntyp = 3
/
ATOMIC_SPECIES
Ac 227.00 Ac.upf
Er 167.26 Er.upf
Pu 244.00 Pu.upf
CELL_PARAMETERS angstrom
-1.9775 4.4263 -1.4194
-4.9355 -2.0224 0.5693
-0.0694 1.6097 5.1164
ATOMIC_POSITIONS angstrom
Ac -0.0347 0.8049 2.5582
Ac -2.4678 -1.0112 0.2847
Er -3.4912 2.0068 2.1331
Pu -0.9887 2.2131 -0.7097
```

Results
crystal system: tetragonal

Entry ii
# Ac2ErPu

A relaxed structure of Ac2ErPu (PBE-GGA, Alexandria via LeMat-Bulk). Values from VASP.

Geometry as Quantum ESPRESSO input:
```
&SYSTEM
  ibrav = 0, nat = 4, ntyp = 3
/
ATOMIC_SPECIES
Ac 227.00 Ac.upf
Pu 244.00 Pu.upf
Er 167.26 Er.upf
CELL_PARAMETERS angstrom
-0.3386 -2.8659 2.3081
-1.0137 -3.3080 -1.2980
11.9564 -5.0947 -1.6138
ATOMIC_POSITIONS angstrom
Ac 8.6420 -4.2835 -1.0927
Ac 1.9621 -6.9851 0.4891
Pu 0.0000 0.0000 0.0000
Er 5.3021 -5.6343 -0.3018
```

Results
crystal system: trigonal

If we sort the structures by their calculated energies, the order from most to least stable is entry i, entry ii.